Density functional theory data (PBE) for crystalline CeLuCuRe at its relaxed geometry.

The space group is F-43m (No. 216) and the conventional cell measures 6.861, 6.861 and 6.861 Å, with angles of 90.00, 90.00 and 90.00 degrees. The asymmetric unit holds Ce at (0.000, 0.000, 0.000), Lu at (0.000, 0.000, 0.500), Cu at (0.250, 0.250, 0.750) and Re at (0.250, 0.250, 0.250).

The calculation puts the magnetization at 0.00 μB/atom. As for the uncorrected energy: -0.2490 hartree per atom. The formation energy comes out at -0.0263 eV per atom.

Density functional theory data (PBE) for crystalline Ac6TlGa6 at its relaxed geometry.

The space group is P6/mmm (No. 191) and the conventional cell measures 6.5116, 6.5116 and 11.0338 Å, with angles of 90.00, 90.00 and 120.00 degrees. The asymmetric unit holds Ac at (0.0000, 0.0000, 0.1956), Ac at (0.3333, 0.6667, 0.0000), Ac at (0.3333, 0.6667, 0.5000), Tl at (0.0000, 0.0000, 0.5000) and Ga at (0.0000, 0.5000, 0.2502).

The calculation puts the magnetization at 0.11 μB/atom. As for the uncorrected energy: -0.1401 hartree per atom. The formation energy comes out at -0.3364 eV per atom.

Density functional theory data (PBE) for crystalline LiCeGe at its relaxed geometry.

The space group is I4/mmm (No. 139) and the conventional cell measures 3.267, 3.267 and 22.419 Å, with angles of 90.00, 90.00 and 90.00 degrees. The asymmetric unit holds Li at (0.000, 0.000, 0.216), Ce at (0.000, 0.000, 0.060) and Ge at (0.000, 0.000, 0.345).

The calculation puts the magnetization at 0.11 μB/atom. As for the uncorrected energy: -0.1635 hartree per atom. The formation energy comes out at -0.2934 eV per atom.

Density functional theory data (PBE) for crystalline Dy2Sc4Si3H2 at its relaxed geometry.

The space group is I4/mmm (No. 139) and the conventional cell measures 4.270, 4.270 and 22.292 Å, with angles of 90.00, 90.00 and 90.00 degrees. The asymmetric unit holds Dy at (0.000, 0.000, 0.199), Sc at (0.000, 0.500, 0.078), Si at (0.000, 0.000, 0.333), Si at (0.000, 0.000, 0.500) and H at (0.000, 0.000, 0.094).

The calculation puts the magnetization at 0.12 μB/atom. As for the uncorrected energy: -0.2151 hartree per atom.

Density functional theory data (PBE) for crystalline Tb6AlAu5 at its relaxed geometry.

The space group is P2/m (No. 10) and the conventional cell measures 5.068, 7.292 and 8.117 Å, with angles of 90.00, 108.30 and 90.00 degrees. The asymmetric unit holds Tb at (0.000, 0.241, 0.000), Tb at (0.332, 0.252, 0.664), Al at (0.500, 0.500, 0.000), Au at (0.149, 0.500, 0.301), Au at (0.170, 0.000, 0.341) and Au at (0.500, 0.000, 0.000).

The calculation puts the magnetization at 0.00 μB/atom. As for the uncorrected energy: -0.1749 hartree per atom. The formation energy comes out at -0.7658 eV per atom.

Density functional theory data (PBE) for crystalline BeGaIr2 at its relaxed geometry.

The space group is I-42d (No. 122) and the conventional cell measures 3.952, 3.952 and 15.762 Å, with angles of 90.00, 90.00 and 90.00 degrees. The asymmetric unit holds Be at (0.000, 0.000, 0.000), Ga at (0.000, 0.000, 0.500) and Ir at (0.197, 0.250, 0.125).

The calculation puts the magnetization at 0.00 μB/atom. As for the uncorrected energy: -0.2198 hartree per atom. The formation energy comes out at 0.1384 eV per atom.

Density functional theory data (PBE) for crystalline La7PbCl12 at its relaxed geometry.

The space group is R-3 (No. 148, hexagonal axes) and the conventional cell measures 15.6992, 15.6992 and 9.1815 Å, with angles of 90.00, 90.00 and 120.00 degrees. The asymmetric unit holds La at (0.0000, 0.0000, 0.0000), La at (0.0376, 0.1741, 0.2925), Pb at (0.0000, 0.0000, 0.5000), Cl at (0.0406, 0.1842, 0.8509) and Cl at (0.0406, 0.5774, 0.1648).

The calculation puts the magnetization at 0.06 μB/atom. As for the uncorrected energy: -0.1825 hartree per atom. The formation energy without anion corrections is -1.949 eV/atom.

Density functional theory data (PBE) for crystalline Mg2SiMo at its relaxed geometry.

The space group is Pmmm (No. 47) and the conventional cell measures 2.855, 4.325 and 5.437 Å, with angles of 90.00, 90.00 and 90.00 degrees. The asymmetric unit holds Mg at (0.000, 0.000, 0.246), Si at (0.500, 0.500, 0.500) and Mo at (0.500, 0.500, 0.000).

The calculation puts the magnetization at 0.00 μB/atom. As for the uncorrected energy: -0.1690 hartree per atom. The formation energy without anion corrections is 0.262 eV/atom.

Density functional theory data (PBE) for crystalline LaPmLu2 at its relaxed geometry.

The space group is R-3m (No. 166, hexagonal axes) and the conventional cell measures 3.5910, 3.5910 and 34.5377 Å, with angles of 90.00, 90.00 and 120.00 degrees. The asymmetric unit holds La at (0.0000, 0.0000, 0.0000), Pm at (0.0000, 0.0000, 0.5000) and Lu at (0.0000, 0.0000, 0.2491).

The calculation puts the magnetization at 0.00 μB/atom. As for the uncorrected energy: -0.1711 hartree per atom. The formation energy comes out at 0.0244 eV per atom.